Here is an optimized crystal structure of BiMoO2F from the Alexandria database. Energies are from PBE with a Hubbard U.

a b c (Å): 4.4140 4.4140 4.5105
angles (deg): 90.00 90.00 90.00
Closest atoms and distances in Å follow each position.
Positions (direct):
Bi  0.0000  0.0000  0.0000  4 O 2.21, 2 F 2.26
Mo  0.5000  0.5000  0.5000  4 F 3.12, 8 O 3.16
O  0.0000  0.5000  0.0000  2 Bi 2.21
O  0.5000  0.0000  0.0000  2 Bi 2.21
F  0.0000  0.0000  0.5000  2 Bi 2.26

The calculation puts the density of states at the Fermi level at 3.7 states/eV/cell. Its space group is P4/mmm (123). Its magnetization is 4.65 μB/cell. As for the final energy: -5.16 eV/atom.